Entry 1:
! NaFeI2N, relaxed, DFT PBE; values from VASP
&SYSTEM
  ibrav = 0, nat = 5, ntyp = 4
/
ATOMIC_SPECIES
I 126.90 I.upf
Na 22.99 Na.upf
Fe 55.84 Fe.upf
N 14.01 N.upf
CELL_PARAMETERS angstrom
5.6059 0.0000 0.0000
0.0000 5.6059 0.0000
0.0000 0.0000 3.5481
ATOMIC_POSITIONS crystal
I 0.0000 0.5000 0.0000
I 0.5000 0.0000 0.0000
Na 0.5000 0.5000 0.5000
Fe 0.0000 0.0000 0.0000
N 0.0000 0.0000 0.5000
! formation energy from raw total energies	-0.0599	eV per atom
! SG	P4/mmm, No. 123

=====

Entry 2:
! CeSm2Hg4, relaxed, DFT PBE; values from VASP
&SYSTEM
  ibrav = 0, nat = 7, ntyp = 3
/
ATOMIC_SPECIES
Ce 140.12 Ce.upf
Sm 150.36 Sm.upf
Hg 200.59 Hg.upf
CELL_PARAMETERS angstrom
-2.5043 4.6317 2.2634
-4.7992 -3.0135 0.8566
6.2425 -2.9025 5.5901
ATOMIC_POSITIONS crystal
Ce 0.0000 0.0000 0.0000
Sm 0.6008 0.6008 0.2015
Sm 0.3992 0.3992 0.7985
Hg 0.7999 0.7999 0.5998
Hg 0.2001 0.2001 0.4002
Hg 0.0000 0.5000 0.0000
Hg 0.5000 0.0000 0.0000
! ΔH_f (0 K)	0.089	eV/atom
! SG	I4/mmm, No. 139

=====

Entry 3:
! CuSi2GeO, relaxed, DFT PBE; values from VASP
&SYSTEM
  ibrav = 0, nat = 5, ntyp = 4
/
ATOMIC_SPECIES
O 16.00 O.upf
Ge 72.64 Ge.upf
Si 28.09 Si.upf
Cu 63.55 Cu.upf
CELL_PARAMETERS angstrom
4.8229 0.0000 0.0000
0.0000 3.5062 0.0000
0.0000 0.0000 4.8229
ATOMIC_POSITIONS crystal
O 0.0000 0.5000 0.0000
Ge 0.5000 0.5000 0.5000
Si 0.0000 0.0000 0.5000
Si 0.5000 0.0000 0.0000
Cu 0.0000 0.0000 0.0000
! formation energy from raw total energies	0.4351	eV per atom
! SG	P4/mmm, No. 123